Here is an optimized crystal structure of Tb2CdSnO6 from Alexandria via LeMat-Bulk. Energies are from PBE-GGA.

Lattice parameters (Å, degrees): 6.023 6.023 6.023 56.87 56.87 56.87
Atoms (fractional coordinates):
Tb: 0.000 0.000 0.000
Tb: 0.495 0.495 0.495
Cd: 0.273 0.273 0.273
Sn: 0.788 0.788 0.788
O: 0.063 0.422 0.689
O: 0.164 0.883 0.606
O: 0.422 0.689 0.063
O: 0.606 0.164 0.883
O: 0.689 0.063 0.422
O: 0.883 0.606 0.164

SG ... R3
Formation energy from raw total energies ... -2.464 eV per atom



Here is an optimized crystal structure of BeSeCl2 from Alexandria via LeMat-Bulk. Energies are from PBE-GGA.

Lattice parameters (Å, degrees): 2.906 2.906 11.260 90.00 90.00 90.00
Atoms (fractional coordinates):
Be: 0.000 0.000 0.000
Se: 0.000 0.000 0.500
Cl: 0.500 0.500 0.126
Cl: 0.500 0.500 0.874

SG ... P4/mmm
Polymorph energy (0 for the lowest one) ... 514.1 meV per atom
Formation energy from raw total energies ... -0.083 eV per atom



Here is an optimized crystal structure of HoThAgRh from Alexandria via LeMat-Bulk. Energies are from PBE-GGA.

Lattice parameters (Å, degrees): 7.186 7.186 7.186 90.00 90.00 90.00
Atoms (fractional coordinates):
Ho: 0.000 0.000 0.000
Ho: 0.000 0.500 0.500
Ho: 0.500 0.000 0.500
Ho: 0.500 0.500 0.000
Th: 0.000 0.000 0.500
Th: 0.000 0.500 0.000
Th: 0.500 0.000 0.000
Th: 0.500 0.500 0.500
Ag: 0.250 0.250 0.250
Ag: 0.250 0.750 0.750
Ag: 0.750 0.250 0.750
Ag: 0.750 0.750 0.250
Rh: 0.250 0.250 0.750
Rh: 0.250 0.750 0.250
Rh: 0.750 0.250 0.250
Rh: 0.750 0.750 0.750

SG ... F-43m
ΔH_f (0 K) ... -468.1 meV/atom



Here is an optimized crystal structure of AlAgAs2N from Alexandria via LeMat-Bulk. Energies are from PBE-GGA.

Lattice parameters (Å, degrees): 4.957 4.957 4.761 90.00 90.00 90.00
Atoms (fractional coordinates):
Al: 0.000 0.000 0.000
Ag: 0.000 0.000 0.500
As: 0.000 0.500 0.500
As: 0.500 0.000 0.500
N: 0.500 0.500 0.000

SG ... P4/mmm
Polymorph energy (0 for the lowest one) ... 1455.9 meV per atom
Formation energy from raw total energies ... 1.835 eV per atom



Here is an optimized crystal structure of MgUBr6 from Alexandria via LeMat-Bulk. Energies are from PBE-GGA.

Lattice parameters (Å, degrees): 7.501 7.501 7.501 55.30 55.30 55.30
Atoms (fractional coordinates):
Mg: 0.000 0.000 0.000
U: 0.500 0.500 0.500
Br: 0.099 0.393 0.752
Br: 0.248 0.901 0.607
Br: 0.393 0.752 0.099
Br: 0.607 0.248 0.901
Br: 0.752 0.099 0.393
Br: 0.901 0.607 0.248

SG ... R-3
Polymorph energy (0 for the lowest one) ... 34.5 meV per atom
Formation energy from raw total energies ... -1.305 eV per atom



Here is an optimized crystal structure of CsNaGa2Pt from Alexandria via LeMat-Bulk. Energies are from PBE-GGA.

Lattice parameters (Å, degrees): 4.942 4.942 6.546 90.00 90.00 90.00
Atoms (fractional coordinates):
Cs: 0.000 0.000 0.000
Na: 0.500 0.500 0.000
Ga: 0.000 0.500 0.500
Ga: 0.500 0.000 0.500
Pt: 0.000 0.000 0.500

SG ... P4/mmm
ΔH_f (0 K) ... -89.6 meV/atom
Polymorph energy (0 for the lowest one) ... 210.7 meV per atom



| no. | total energy (eV per atom) | total magnetization (μB/cell) |
| --- | --- | --- |
| 1 | -6.8563 | 0.00 |
| 2 | -2.8086 | 0.00 |
| 3 | -6.0182 | 0.00 |
| 4 | -3.0090 | 0.00 |
| 5 | -4.1705 | 2.00 |
| 6 | -2.9430 | 0.00 |